(1)
The following is a DFT calculation (PBE) of an optimized crystal structure of Tm3InS6.

Structure (POSCAR):
```
Tm3InS6
1.0
3.8076 0.0000 0.0000
0.0000 13.3668 0.0000
0.0000 0.0000 16.4211
S Tm In
24 12 4
Direct
0.2499 0.6948 0.0208 S
0.2503 0.3856 0.7546 S
0.2503 0.6144 0.2454 S
0.7499 0.5199 0.8938 S
0.2495 0.6815 0.7865 S
0.7497 0.8856 0.7454 S
0.7505 0.1815 0.7135 S
0.2501 0.0199 0.6062 S
0.7501 0.8052 0.5208 S
0.7495 0.1107 0.8797 S
0.2505 0.6107 0.6203 S
0.2490 0.9021 0.9103 S
0.7510 0.4021 0.5897 S
0.7499 0.4801 0.1062 S
0.2501 0.9801 0.3938 S
0.2505 0.3893 0.3797 S
0.7497 0.1144 0.2546 S
0.7501 0.1948 0.4792 S
0.7505 0.8185 0.2865 S
0.2499 0.3052 0.9792 S
0.2490 0.0979 0.0897 S
0.2495 0.3185 0.2135 S
0.7495 0.8893 0.1203 S
0.7510 0.5979 0.4103 S
0.2498 0.8099 0.6453 Tm
0.2498 0.1901 0.3547 Tm
0.2497 0.9625 0.2253 Tm
0.7503 0.5375 0.7253 Tm
0.7502 0.3099 0.8547 Tm
0.7493 0.2497 0.1086 Tm
0.7503 0.4625 0.2747 Tm
0.2497 0.0375 0.7747 Tm
0.2507 0.7497 0.3914 Tm
0.7493 0.7503 0.8914 Tm
0.2507 0.2503 0.6086 Tm
0.7502 0.6901 0.1453 Tm
0.7501 0.0000 0.5000 In
0.2524 0.5000 0.5000 In
0.2499 0.5000 0.0000 In
0.7476 0.0000 0.0000 In
```

- electronic total energy (eV per atom) = -5.751
- uncorrected formation energy (kcal/mol of atoms) = -38.260
- size of the total moment (μB/f.u.) = 0.000



(2)
The following is a DFT calculation (PBE) of an optimized crystal structure of K2Na7Sr.

Structure (POSCAR):
```
K2Na7Sr
1.0
4.1807 0.0000 0.0000
0.0000 8.3000 -3.0018
0.0000 0.2670 13.7140
Na Sr K
7 1 2
Direct
0.5000 0.5000 0.0000 Na
0.0000 0.3907 0.7814 Na
0.5000 0.0787 0.7721 Na
0.5000 0.9213 0.2279 Na
0.0000 0.6093 0.2186 Na
0.5000 0.3066 0.2279 Na
0.5000 0.6934 0.7721 Na
0.0000 0.0000 0.0000 Sr
0.5000 0.7459 0.4919 K
0.5000 0.2541 0.5081 K
```

- electronic total energy (eV per atom) = -1.231
- DOS at the Fermi energy (states/eV/atom) = 0.597
- size of the total moment (μB/f.u.) = 0.000
- formation energy from the elements (eV per atom) = 0.08



(3)
The following is a DFT calculation (PBE) of an optimized crystal structure of K2InGeO4.

Structure (POSCAR):
```
K2InGeO4
1.0
5.9016 -0.2313 -0.3544
-2.7239 5.2405 0.3544
-2.7239 -1.7845 4.9400
K O Ge In
2 4 1 1
Direct
0.0000 0.0000 0.0000 K
0.5000 0.7500 0.2500 K
0.6420 0.4032 0.4726 O
0.3580 0.8306 0.7612 O
0.0694 0.2388 0.5968 O
0.9306 0.5274 0.1694 O
0.0000 0.5000 0.5000 Ge
0.5000 0.2500 0.7500 In
```

- electronic total energy (eV per atom) = -5.223
- uncorrected formation energy (kcal/mol of atoms) = -35.746
- DOS at the Fermi energy (states/eV/atom) = 0.174
- size of the total moment (μB/f.u.) = 0.000



(4)
The following is a DFT calculation (PBE) of an optimized crystal structure of HoNbS.

Structure (POSCAR):
```
HoNbS
1.0
-3.3984 -0.9422 1.2340
1.2224 -3.4546 0.7287
2.4908 2.7753 8.9783
Ho Nb S
2 2 2
Direct
0.5000 0.0000 0.6827 Ho
0.0000 0.5000 0.3173 Ho
0.0000 0.0000 0.0000 Nb
0.5000 0.5000 0.0000 Nb
0.5000 0.0000 0.3861 S
0.0000 0.5000 0.6139 S
```

- electronic total energy (eV per atom) = -6.988
- uncorrected formation energy (kcal/mol of atoms) = -16.821
- DOS at the Fermi energy (states/eV/atom) = 0.963
- size of the total moment (μB/f.u.) = 0.000



(5)
The following is a DFT calculation (PBE) of an optimized crystal structure of SOF2.

Structure (POSCAR):
```
SOF2
1.0
1.5742 0.0000 7.2574
-0.7871 1.3633 7.2574
-0.7871 -1.3633 7.2574
O S F
1 1 2
Direct
0.0000 0.0000 0.0000 O
0.5000 0.5000 0.5000 S
0.9225 0.9225 0.9225 F
0.0775 0.0775 0.0775 F
```

- electronic total energy (eV per atom) = -2.609
- uncorrected formation energy (kcal/mol of atoms) = 13.792
- DOS at the Fermi energy (states/eV/atom) = 0.536
- size of the total moment (μB/f.u.) = 0.934



(6)
The following is a DFT calculation (PBE) of an optimized crystal structure of Cu4I3Br.

Structure (POSCAR):
```
Cu4I3Br
1.0
-5.9907 -0.9638 -3.3808
-2.8684 -3.0987 5.9662
-2.6981 7.5556 2.6270
I Cu Br
6 8 2
Direct
0.0001 0.6694 0.7508 I
0.5010 0.8369 0.0000 I
0.5001 0.3306 0.7492 I
0.5001 0.3306 0.2508 I
0.0010 0.1631 0.5000 I
0.0001 0.6694 0.2492 I
0.1235 0.3320 0.2452 Cu
0.6250 0.1544 0.5000 Cu
0.6235 0.6680 0.7452 Cu
0.6405 0.1688 0.0000 Cu
0.1250 0.8456 0.0000 Cu
0.6235 0.6680 0.2548 Cu
0.1405 0.8312 0.5000 Cu
0.1235 0.3320 0.7548 Cu
0.0017 0.1699 0.0000 Br
0.5017 0.8301 0.5000 Br
```

- electronic total energy (eV per atom) = -2.994
- uncorrected formation energy (kcal/mol of atoms) = -3.595
- size of the total moment (μB/f.u.) = 0.000



(7)
The following is a DFT calculation (PBE) of an optimized crystal structure of SrGeAu2.

Structure (POSCAR):
```
SrGeAu2
1.0
5.2628 0.0000 0.0000
0.0000 5.2628 0.0000
2.6314 2.6314 8.3219
Sr Ge Au
2 2 4
Direct
0.0000 0.0000 0.0000 Sr
0.7500 0.2500 0.5000 Sr
0.5000 0.5000 0.0000 Ge
0.2500 0.7500 0.5000 Ge
0.2668 0.6250 0.2500 Au
0.8750 0.7332 0.7500 Au
0.3750 0.5168 0.7500 Au
0.4832 0.1250 0.2500 Au
```

- electronic total energy (eV per atom) = -3.639
- DOS at the Fermi energy (states/eV/atom) = 0.086
- size of the total moment (μB/f.u.) = 0.000
- formation energy from the elements (eV per atom) = -0.43



(8)
The following is a DFT calculation (PBE) of an optimized crystal structure of Ca2BeIn.

Structure (POSCAR):
```
Ca2BeIn
1.0
0.0000 3.7141 3.7141
3.7141 0.0000 3.7141
3.7141 3.7141 0.0000
Ca In Be
2 1 1
Direct
0.2500 0.2500 0.2500 Ca
0.7500 0.7500 0.7500 Ca
0.5000 0.5000 0.5000 In
0.0000 0.0000 0.0000 Be
```

- electronic total energy (eV per atom) = -2.613
- DOS at the Fermi energy (states/eV/atom) = 0.674
- size of the total moment (μB/f.u.) = 0.000
- formation energy from the elements (eV per atom) = 0.00



(9)
The following is a DFT calculation (PBE) of an optimized crystal structure of Ca2SmI.

Structure (POSCAR):
```
Ca2SmI
1.0
3.8042 0.0000 0.0000
0.0000 3.8042 0.0000
0.0000 0.0000 10.0634
I Ca Sm
1 2 1
Direct
0.5000 0.5000 0.0000 I
0.0000 0.0000 0.7648 Ca
0.0000 0.0000 0.2352 Ca
0.5000 0.5000 0.5000 Sm
```

- electronic total energy (eV per atom) = -2.989
- uncorrected formation energy (kcal/mol of atoms) = -9.710
- DOS at the Fermi energy (states/eV/atom) = 1.177
- size of the total moment (μB/f.u.) = 0.217



(10)
The following is a DFT calculation (PBE) of an optimized crystal structure of LiIrBr2.

Structure (POSCAR):
```
LiIrBr2
1.0
3.7167 0.0000 0.0000
0.0000 6.8204 -0.0208
0.0000 5.7220 4.8753
Br Ir Li
2 1 1
Direct
0.0000 0.3038 0.4294 Br
0.0000 0.1962 0.0706 Br
0.5000 0.2500 0.2500 Ir
0.5000 0.7500 0.7500 Li
```

- electronic total energy (eV per atom) = -3.781
- uncorrected formation energy (kcal/mol of atoms) = -5.785
- size of the total moment (μB/f.u.) = 0.000



(11)
The following is a DFT calculation (PBE) of an optimized crystal structure of NiRh4Br.

Structure (POSCAR):
```
NiRh4Br
1.0
0.0000 3.6671 3.6671
3.6671 0.0000 3.6671
3.6671 3.6671 0.0000
Rh Ni Br
4 1 1
Direct
0.3750 0.3750 0.3750 Rh
0.3750 0.3750 0.8750 Rh
0.3750 0.8750 0.3750 Rh
0.8750 0.3750 0.3750 Rh
0.0000 0.0000 0.0000 Ni
0.7500 0.7500 0.7500 Br
```

- electronic total energy (eV per atom) = -5.327
- uncorrected formation energy (kcal/mol of atoms) = 18.836
- DOS at the Fermi energy (states/eV/atom) = 2.202
- size of the total moment (μB/f.u.) = 3.279



(12)
The following is a DFT calculation (PBE) of an optimized crystal structure of Ni6MoPd.

Structure (POSCAR):
```
Ni6MoPd
1.0
-2.0412 1.1476 2.7832
0.0717 -3.3431 1.4310
6.0121 1.7138 3.7025
Ni Mo Pd
6 1 1
Direct
0.0000 0.5000 0.2585 Ni
0.5000 0.0000 0.7415 Ni
0.5000 0.0000 0.2585 Ni
0.5000 0.5000 0.0000 Ni
0.0000 0.5000 0.7415 Ni
0.5000 0.5000 0.5000 Ni
0.0000 0.0000 0.5000 Mo
0.0000 0.0000 0.0000 Pd
```

- electronic total energy (eV per atom) = -6.372
- DOS at the Fermi energy (states/eV/atom) = 1.056
- size of the total moment (μB/f.u.) = 0.018
- formation energy from the elements (eV per atom) = -0.03